DFT (PBE-GGA) results for YHfI after structural relaxation.

M_tot	0.00	μB/f.u.
total energy	-72.80	eV per cell

```
data_YHfI
_cell_length_a 11.3713
_cell_length_b 3.5102
_cell_length_c 9.1198
_cell_angle_alpha 90.00
_cell_angle_beta 118.39
_cell_angle_gamma 90.00
_space_group_name_H-M_alt 'C 1 m 1'
_space_group_IT_number 8
_space_group_name_Hall 'C -2y'
loop_
_atom_site_label
_atom_site_type_symbol
_atom_site_fract_x
_atom_site_fract_y
_atom_site_fract_z
Y1 Y 0.0000 0.0000 0.0000
Y2 Y 0.0662 0.5000 0.6757
Hf1 Hf 0.0431 0.5000 0.3189
Hf2 Hf 0.3170 0.5000 0.3175
I1 I 0.2684 0.0000 0.9992
I2 I 0.2706 0.0000 0.5847
```

DFT (PBE-GGA) results for Y2HfI after structural relaxation.

M_tot	0.55	μB/f.u.
energy relative to the lowest polymorph listed for this composition	0.135	eV/atom

```
data_Y2HfI
_cell_length_a 8.6383
_cell_length_b 8.6383
_cell_length_c 6.4284
_cell_angle_alpha 90.00
_cell_angle_beta 90.00
_cell_angle_gamma 90.00
_space_group_name_H-M_alt 'I -4 2 d'
_space_group_IT_number 122
_space_group_name_Hall 'I -4 2bw'
loop_
_atom_site_label
_atom_site_type_symbol
_atom_site_fract_x
_atom_site_fract_y
_atom_site_fract_z
Y1 Y 0.2194 0.2500 0.1250
Hf1 Hf 0.0000 0.0000 0.5000
I1 I 0.0000 0.0000 0.0000
```

DFT (PBE-GGA) results for Y2HfI2 after structural relaxation.

M_tot	0.00	μB/f.u.
energy relative to the lowest polymorph listed for this composition	0.557	eV/atom

```
data_Y2HfI2
_cell_length_a 4.9774
_cell_length_b 4.9774
_cell_length_c 13.2279
_cell_angle_alpha 90.00
_cell_angle_beta 90.00
_cell_angle_gamma 90.00
_space_group_name_H-M_alt 'I 4/m m m'
_space_group_IT_number 139
_space_group_name_Hall '-I 4 2'
loop_
_atom_site_label
_atom_site_type_symbol
_atom_site_fract_x
_atom_site_fract_y
_atom_site_fract_z
Y1 Y 0.0000 0.5000 0.2500
Hf1 Hf 0.0000 0.0000 0.0000
I1 I 0.0000 0.0000 0.3770
```

DFT (PBE-GGA) results for HfZn2I8 after structural relaxation.

M_tot	0.00	μB/f.u.
total energy	-64.44	eV per cell

```
data_HfZn2I8
_cell_length_a 14.0169
_cell_length_b 10.3871
_cell_length_c 6.8724
_cell_angle_alpha 90.00
_cell_angle_beta 92.02
_cell_angle_gamma 90.00
_space_group_name_H-M_alt 'C 1 2/m 1'
_space_group_IT_number 12
_space_group_name_Hall '-C 2y'
loop_
_atom_site_label
_atom_site_type_symbol
_atom_site_fract_x
_atom_site_fract_y
_atom_site_fract_z
Hf1 Hf 0.0000 0.0000 0.0000
Zn1 Zn 0.1877 0.0000 0.6303
I1 I 0.0807 0.1958 0.7645
I2 I 0.1377 0.5000 0.2768
I3 I 0.1746 0.0000 0.2358
```

DFT (PBE-GGA) results for HfZnI2 after structural relaxation.

M_tot	1.05	μB/f.u.
energy relative to the lowest polymorph listed for this composition	0.264	eV/atom

```
data_HfZnI2
_cell_length_a 7.3132
_cell_length_b 7.3132
_cell_length_c 7.3132
_cell_angle_alpha 90.00
_cell_angle_beta 90.00
_cell_angle_gamma 90.00
_space_group_name_H-M_alt 'F m -3 m'
_space_group_IT_number 225
_space_group_name_Hall '-F 4 2 3'
loop_
_atom_site_label
_atom_site_type_symbol
_atom_site_fract_x
_atom_site_fract_y
_atom_site_fract_z
Hf1 Hf 0.0000 0.0000 0.0000
Zn1 Zn 0.0000 0.0000 0.5000
I1 I 0.2500 0.2500 0.2500
```

DFT (PBE-GGA) results for HfZnI6 after structural relaxation.

M_tot	0.00	μB/f.u.
total energy	-51.58	eV per cell

```
data_HfZnI6
_cell_length_a 7.2609
_cell_length_b 13.9188
_cell_length_c 7.2747
_cell_angle_alpha 90.00
_cell_angle_beta 112.27
_cell_angle_gamma 90.00
_space_group_name_H-M_alt 'C 1 2/m 1'
_space_group_IT_number 12
_space_group_name_Hall '-C 2y'
loop_
_atom_site_label
_atom_site_type_symbol
_atom_site_fract_x
_atom_site_fract_y
_atom_site_fract_z
Hf1 Hf 0.0000 0.0000 0.0000
Zn1 Zn 0.0000 0.5000 0.5000
I1 I 0.2307 0.0000 0.7680
I2 I 0.2407 0.3564 0.7424
```

DFT (PBE-GGA) results for HfZnI2 after structural relaxation.

M_tot	0.95	μB/f.u.
energy relative to the lowest polymorph listed for this composition	0.000	eV/atom

```
data_HfZnI2
_cell_length_a 10.4050
_cell_length_b 10.4050
_cell_length_c 5.6012
_cell_angle_alpha 90.00
_cell_angle_beta 90.00
_cell_angle_gamma 90.00
_space_group_name_H-M_alt 'I -4 2 d'
_space_group_IT_number 122
_space_group_name_Hall 'I -4 2bw'
loop_
_atom_site_label
_atom_site_type_symbol
_atom_site_fract_x
_atom_site_fract_y
_atom_site_fract_z
Hf1 Hf 0.0000 0.0000 0.0000
Zn1 Zn 0.0000 0.0000 0.5000
I1 I 0.0947 0.2500 0.1250
```

DFT (PBE-GGA) results for Hf3ZrI after structural relaxation.

M_tot	0.00	μB/f.u.
energy relative to the lowest polymorph listed for this composition	0.000	eV/atom

```
data_Hf3ZrI
_cell_length_a 5.1524
_cell_length_b 5.1524
_cell_length_c 5.1524
_cell_angle_alpha 90.00
_cell_angle_beta 90.00
_cell_angle_gamma 90.00
_space_group_name_H-M_alt 'P m -3 m'
_space_group_IT_number 221
_space_group_name_Hall '-P 4 2 3'
loop_
_atom_site_label
_atom_site_type_symbol
_atom_site_fract_x
_atom_site_fract_y
_atom_site_fract_z
Hf1 Hf 0.0000 0.0000 0.5000
Zr1 Zr 0.5000 0.5000 0.5000
I1 I 0.0000 0.0000 0.0000
```

DFT (PBE-GGA) results for Hf2ZrI after structural relaxation.

M_tot	0.00	μB/f.u.
energy relative to the lowest polymorph listed for this composition	0.000	eV/atom

```
data_Hf2ZrI
_cell_length_a 7.1610
_cell_length_b 7.1610
_cell_length_c 7.1610
_cell_angle_alpha 90.00
_cell_angle_beta 90.00
_cell_angle_gamma 90.00
_space_group_name_H-M_alt 'F m -3 m'
_space_group_IT_number 225
_space_group_name_Hall '-F 4 2 3'
loop_
_atom_site_label
_atom_site_type_symbol
_atom_site_fract_x
_atom_site_fract_y
_atom_site_fract_z
Hf1 Hf 0.2500 0.2500 0.2500
Zr1 Zr 0.0000 0.0000 0.0000
I1 I 0.0000 0.0000 0.5000
```

DFT (PBE-GGA) results for Hf3ZrI after structural relaxation.

M_tot	0.00	μB/f.u.
energy relative to the lowest polymorph listed for this composition	0.182	eV/atom

```
data_Hf3ZrI
_cell_length_a 5.2430
_cell_length_b 5.2430
_cell_length_c 5.2430
_cell_angle_alpha 90.00
_cell_angle_beta 90.00
_cell_angle_gamma 90.00
_space_group_name_H-M_alt 'P m -3 m'
_space_group_IT_number 221
_space_group_name_Hall '-P 4 2 3'
loop_
_atom_site_label
_atom_site_type_symbol
_atom_site_fract_x
_atom_site_fract_y
_atom_site_fract_z
Hf1 Hf 0.0000 0.0000 0.5000
Zr1 Zr 0.0000 0.0000 0.0000
I1 I 0.5000 0.5000 0.5000
```

DFT (PBE-GGA) results for HfZrI2 after structural relaxation.

M_tot	0.83	μB/f.u.
energy relative to the lowest polymorph listed for this composition	0.000	eV/atom

```
data_HfZrI2
_cell_length_a 7.1636
_cell_length_b 7.1636
_cell_length_c 7.1636
_cell_angle_alpha 90.00
_cell_angle_beta 90.00
_cell_angle_gamma 90.00
_space_group_name_H-M_alt 'F m -3 m'
_space_group_IT_number 225
_space_group_name_Hall '-F 4 2 3'
loop_
_atom_site_label
_atom_site_type_symbol
_atom_site_fract_x
_atom_site_fract_y
_atom_site_fract_z
Hf1 Hf 0.0000 0.0000 0.0000
Zr1 Zr 0.0000 0.0000 0.5000
I1 I 0.2500 0.2500 0.2500
```

DFT (PBE-GGA) results for Hf2ZrI after structural relaxation.

M_tot	0.00	μB/f.u.
energy relative to the lowest polymorph listed for this composition	0.026	eV/atom

```
data_Hf2ZrI
_cell_length_a 4.2724
_cell_length_b 4.2724
_cell_length_c 21.2735
_cell_angle_alpha 90.00
_cell_angle_beta 90.00
_cell_angle_gamma 90.00
_space_group_name_H-M_alt 'I -4 2 d'
_space_group_IT_number 122
_space_group_name_Hall 'I -4 2bw'
loop_
_atom_site_label
_atom_site_type_symbol
_atom_site_fract_x
_atom_site_fract_y
_atom_site_fract_z
Hf1 Hf 0.2478 0.2500 0.1250
Zr1 Zr 0.0000 0.0000 0.0000
I1 I 0.0000 0.0000 0.5000
```

DFT (PBE-GGA) results for HfZr2I5 after structural relaxation.

M_tot	0.00	μB/f.u.
total energy	-38.10	eV per cell

```
data_HfZr2I5
_cell_length_a 6.9094
_cell_length_b 7.0171
_cell_length_c 7.4284
_cell_angle_alpha 77.76
_cell_angle_beta 69.20
_cell_angle_gamma 70.38
_space_group_name_H-M_alt 'P 1'
_space_group_IT_number 1
_space_group_name_Hall 'P 1'
loop_
_atom_site_label
_atom_site_type_symbol
_atom_site_fract_x
_atom_site_fract_y
_atom_site_fract_z
Hf1 Hf 0.0000 0.0000 0.0000
Zr1 Zr 0.0662 0.6571 0.7911
Zr2 Zr 0.6866 0.0361 0.7936
I1 I 0.0121 0.8960 0.4205
I2 I 0.2571 0.2889 0.0420
I3 I 0.4076 0.8404 0.7125
I4 I 0.7044 0.7573 0.1354
I5 I 0.9007 0.3468 0.7151
```

DFT (PBE-GGA) results for HfZrI2 after structural relaxation.

M_tot	0.00	μB/f.u.
energy relative to the lowest polymorph listed for this composition	0.322	eV/atom

```
data_HfZrI2
_cell_length_a 7.9267
_cell_length_b 7.9267
_cell_length_c 6.9829
_cell_angle_alpha 90.00
_cell_angle_beta 90.00
_cell_angle_gamma 90.00
_space_group_name_H-M_alt 'I -4 2 d'
_space_group_IT_number 122
_space_group_name_Hall 'I -4 2bw'
loop_
_atom_site_label
_atom_site_type_symbol
_atom_site_fract_x
_atom_site_fract_y
_atom_site_fract_z
Hf1 Hf 0.0000 0.0000 0.0000
Zr1 Zr 0.0000 0.0000 0.5000
I1 I 0.2474 0.2500 0.1250
```

DFT (PBE-GGA) results for Hf7In5 after structural relaxation.

M_tot	0.00	μB/f.u.
DFT formation energy	-0.0804	eV per atom

```
data_Hf7In5
_cell_length_a 13.3042
_cell_length_b 4.2860
_cell_length_c 10.4570
_cell_angle_alpha 90.00
_cell_angle_beta 116.77
_cell_angle_gamma 90.00
_space_group_name_H-M_alt 'C 1 2/m 1'
_space_group_IT_number 12
_space_group_name_Hall '-C 2y'
loop_
_atom_site_label
_atom_site_type_symbol
_atom_site_fract_x
_atom_site_fract_y
_atom_site_fract_z
Hf1 Hf 0.0000 0.0000 0.0000
Hf2 Hf 0.0853 0.0000 0.7427
Hf3 Hf 0.0855 0.5000 0.2466
Hf4 Hf 0.1620 0.0000 0.4903
In1 In 0.0000 0.5000 0.5000
In2 In 0.1633 0.5000 0.9877
In3 In 0.2487 0.5000 0.7342
```

DFT (PBE-GGA) results for Hf5In2 after structural relaxation.

M_tot	0.00	μB/f.u.
DFT formation energy	-0.1021	eV per atom

```
data_Hf5In2
_cell_length_a 13.8586
_cell_length_b 3.1340
_cell_length_c 7.7579
_cell_angle_alpha 90.00
_cell_angle_beta 112.56
_cell_angle_gamma 90.00
_space_group_name_H-M_alt 'C 1 2/m 1'
_space_group_IT_number 12
_space_group_name_Hall '-C 2y'
loop_
_atom_site_label
_atom_site_type_symbol
_atom_site_fract_x
_atom_site_fract_y
_atom_site_fract_z
Hf1 Hf 0.0000 0.0000 0.0000
Hf2 Hf 0.1464 0.0000 0.4270
Hf3 Hf 0.2189 0.5000 0.1535
In1 In 0.0718 0.5000 0.7219
```

DFT (PBE-GGA) results for Hf5In after structural relaxation.

M_tot	0.00	μB/f.u.
DFT formation energy	-0.0796	eV per atom

```
data_Hf5In
_cell_length_a 4.4325
_cell_length_b 13.5879
_cell_length_c 4.4019
_cell_angle_alpha 90.00
_cell_angle_beta 90.00
_cell_angle_gamma 90.00
_space_group_name_H-M_alt 'C m m m'
_space_group_IT_number 65
_space_group_name_Hall '-C 2 2'
loop_
_atom_site_label
_atom_site_type_symbol
_atom_site_fract_x
_atom_site_fract_y
_atom_site_fract_z
Hf1 Hf 0.0000 0.0000 0.0000
Hf2 Hf 0.0000 0.1692 0.5000
Hf3 Hf 0.0000 0.3322 0.0000
In1 In 0.0000 0.5000 0.5000
```

DFT (PBE-GGA) results for HfIn after structural relaxation.

M_tot	0.00	μB/f.u.
DFT formation energy	1.3723	eV per atom

```
data_HfIn
_cell_length_a 6.5353
_cell_length_b 6.5353
_cell_length_c 6.5353
_cell_angle_alpha 90.00
_cell_angle_beta 90.00
_cell_angle_gamma 90.00
_space_group_name_H-M_alt 'F -4 3 m'
_space_group_IT_number 216
_space_group_name_Hall 'F -4 2 3'
loop_
_atom_site_label
_atom_site_type_symbol
_atom_site_fract_x
_atom_site_fract_y
_atom_site_fract_z
Hf1 Hf 0.0000 0.0000 0.0000
In1 In 0.2500 0.2500 0.2500
```

DFT (PBE-GGA) results for Hf8In after structural relaxation.

M_tot	0.00	μB/f.u.
DFT formation energy	-0.0495	eV per atom

```
data_Hf8In
_cell_length_a 9.5824
_cell_length_b 9.5824
_cell_length_c 4.3641
_cell_angle_alpha 90.00
_cell_angle_beta 90.00
_cell_angle_gamma 90.00
_space_group_name_H-M_alt 'I 4/m m m'
_space_group_IT_number 139
_space_group_name_Hall '-I 4 2'
loop_
_atom_site_label
_atom_site_type_symbol
_atom_site_fract_x
_atom_site_fract_y
_atom_site_fract_z
Hf1 Hf 0.0000 0.3356 0.0000
Hf2 Hf 0.1689 0.1689 0.5000
In1 In 0.0000 0.0000 0.0000
```

DFT (PBE-GGA) results for HfIn after structural relaxation.

M_tot	0.00	μB/f.u.
DFT formation energy	-0.0802	eV per atom

```
data_HfIn
_cell_length_a 3.1841
_cell_length_b 3.1841
_cell_length_c 5.1369
_cell_angle_alpha 90.00
_cell_angle_beta 90.00
_cell_angle_gamma 120.00
_space_group_name_H-M_alt 'P -6 m 2'
_space_group_IT_number 187
_space_group_name_Hall 'P -6 2'
loop_
_atom_site_label
_atom_site_type_symbol
_atom_site_fract_x
_atom_site_fract_y
_atom_site_fract_z
Hf1 Hf 0.0000 0.0000 0.0000
In1 In 0.6667 0.3333 0.5000
```